Ti4Nb3 | Alexandria via LeMat-Bulk | PBE-GGA | relaxed; formation energy = 0.28 eV per formula unit; electronic total energy = -0.32291 hartree per atom; space group = No. 139
1.0
-0.538 0.575 3.196
-2.464 -2.183 -0.022
8.799 -7.463 1.128
Ti Nb
4 3
Direct
0.856 0.856 0.713
0.568 0.568 0.135
0.432 0.432 0.865
0.144 0.144 0.287
0.000 0.000 0.000
0.715 0.715 0.430
0.285 0.285 0.570